ZnGa2Au6 | PBE-GGA | optimized geometry

Values from the calculation:
Its energy of formation is -114 meV per atom. Its energy above the lowest structure with this stoichiometry is 0.00 kJ/mol of atoms.

Cell: 4.704 6.287 6.549 Å, 72.79 68.95 68.03°
Sites, in units of the cell vectors:
Zn: 0.000 0.500 0.500
Ga: 0.129 0.703 0.039
Ga: 0.871 0.297 0.961
Au: 0.169 0.016 0.646
Au: 0.301 0.233 0.165
Au: 0.699 0.767 0.835
Au: 0.506 0.307 0.681
Au: 0.494 0.693 0.319
Au: 0.831 0.984 0.354

---

NaSiNiAs2 | PBE-GGA | optimized geometry

Values from the calculation:
The calculation puts the uncorrected formation energy at 1.3949 eV per atom.

Cell: 4.917 4.456 4.917 Å, 90.00 90.00 90.00°
Sites, in units of the cell vectors:
Ni: 0.000 0.500 0.000
As: 0.000 0.000 0.500
As: 0.500 0.000 0.000
Si: 0.500 0.500 0.500
Na: 0.000 0.000 0.000

---

no.,V (Å³/cell)
1,165
2,108